# 1
Here is a relaxed Ca2EuGa crystal from the Alexandria database. Energies are from PBE.

N(E_F)   8.55 states/eV/cell
Space group   P4/mmm (123)
Energy of formation from the pure elements   -0.21 eV per atom
VASP energy   -4.534 eV per atom

Lattice parameters (Å, degrees): 3.709 3.709 9.798 90.00 90.00 90.00
Sites, in units of the cell vectors:
1 Ca 0.000 0.000 0.184
2 Ca 0.000 0.000 0.816
3 Eu 0.500 0.500 0.500
4 Ga 0.500 0.500 0.000

---

# 2
Here is a relaxed CaEu2Ga crystal from the Alexandria database. Energies are from PBE.

N(E_F)   11.21 states/eV/cell
Space group   P4/mmm (123)
Energy of formation from the pure elements   -0.25 eV per atom
VASP energy   -6.647 eV per atom

Lattice parameters (Å, degrees): 3.827 3.827 9.375 90.00 90.00 90.00
Sites, in units of the cell vectors:
1 Ca 0.000 0.000 0.000
2 Eu 0.500 0.500 0.313
3 Eu 0.500 0.500 0.687
4 Ga 0.000 0.000 0.500

---

# 3
Here is a relaxed Ca3EuGa crystal from the Alexandria database. Energies are from PBE.

N(E_F)   4.22 states/eV/cell
Space group   Pm-3m (221)
Energy of formation from the pure elements   -0.08 eV per atom
VASP energy   -3.943 eV per atom

Lattice parameters (Å, degrees): 5.875 5.875 5.875 90.00 90.00 90.00
Sites, in units of the cell vectors:
1 Ca 0.000 0.000 0.500
2 Ca 0.000 0.500 0.000
3 Ca 0.500 0.000 0.000
4 Eu 0.500 0.500 0.500
5 Ga 0.000 0.000 0.000